# 1
Compound: Pr2Dy3Y
Source: the Alexandria database
Functional: PBE-GGA
Structure: relaxed

Structure (POSCAR):
```
Pr2Dy3Y
1.0
-1.7273 -4.9512 -2.0320
6.3776 -1.5913 6.2385
-9.5415 2.3604 2.3592
Pr Dy Y
4 6 2
direct
0.5082 0.0164 0.8579 Pr
0.4918 0.9836 0.1421 Pr
0.7708 0.5415 0.1288 Pr
0.2292 0.4585 0.8712 Pr
0.2914 0.5828 0.5735 Dy
0.9512 0.9024 0.6049 Dy
0.6126 0.2252 0.6559 Dy
0.3874 0.7748 0.3441 Dy
0.0488 0.0976 0.3951 Dy
0.7086 0.4172 0.4265 Dy
0.8665 0.7330 0.8619 Y
0.1335 0.2670 0.1381 Y
```

Properties
DOS at the Fermi energy = 1.6180 states/eV/atom
Excess energy over the best structure of this formula in the dataset = 0 meV per atom
Calculated formation energy = 0.0921 eV per atom
Magnetic moment = 0.00 μB per formula unit
VASP energy = -58.6 eV per cell
SG = C2/m (12)



# 2
Compound: HfCdRh
Source: the Alexandria database
Functional: PBE-GGA
Structure: relaxed

Structure (POSCAR):
```
HfCdRh
1.0
4.8784 0.0038 -0.0068
-2.3921 4.5804 0.0000
-1.7371 -1.6728 4.9612
Hf Cd Rh
2 2 2
direct
0.6590 0.8996 0.3066 Hf
0.9112 0.7194 0.8298 Hf
0.0038 0.5475 0.3309 Cd
0.2421 0.3539 0.8199 Cd
0.5790 0.0150 0.8323 Rh
0.3152 0.1869 0.3061 Rh
```

Properties
DOS at the Fermi energy = 0.4462 states/eV/atom
Calculated formation energy = -0.3558 eV per atom
Magnetic moment = 0.00 μB per formula unit
VASP energy = -38.6 eV per cell
SG = P1 (1)



# 3
Compound: BaThPa2O8
Source: the Alexandria database
Functional: PBE-GGA
Structure: relaxed

Structure (POSCAR):
```
BaThPa2O8
1.0
5.6597 0.0000 0.0000
0.0000 5.6597 0.0000
-2.8299 -2.8299 5.5624
Ba Th Pa O
1 1 2 8
direct
0.7500 0.2500 0.5000 Ba
0.0000 0.0000 0.0000 Th
0.5000 0.5000 0.0000 Pa
0.2500 0.7500 0.5000 Pa
0.8511 0.8267 0.2155 O
0.3645 0.3888 0.2155 O
0.6002 0.6575 0.7401 O
0.1399 0.0826 0.7401 O
0.9174 0.3998 0.2599 O
0.3425 0.8601 0.2599 O
0.1733 0.6355 0.7845 O
0.6112 0.1489 0.7845 O
```

Properties
DOS at the Fermi energy = 0.0000 states/eV/atom
Magnetic moment = 0.00 μB per formula unit
VASP energy = -110.4 eV per cell
SG = I-4 (82)



# 4
Compound: Sr2CuSb4Ir3
Source: the Alexandria database
Functional: PBE-GGA
Structure: relaxed

Structure (POSCAR):
```
Sr2CuSb4Ir3
1.0
4.6455 0.0000 0.0000
0.0000 4.6455 0.0000
0.0000 0.0000 10.5670
Sr Cu Sb Ir
2 1 4 3
direct
0.5000 0.0000 0.2556 Sr
0.0000 0.5000 0.7444 Sr
0.5000 0.5000 0.5000 Cu
0.5000 0.5000 0.0000 Sb
0.0000 0.0000 0.0000 Sb
0.5000 0.0000 0.6283 Sb
0.0000 0.5000 0.3717 Sb
0.0000 0.0000 0.5000 Ir
0.5000 0.0000 0.8789 Ir
0.0000 0.5000 0.1212 Ir
```

Properties
DOS at the Fermi energy = 0.5354 states/eV/atom
Magnetic moment = 0.00 μB per formula unit
VASP energy = -55.3 eV per cell
SG = P-4m2 (115)



# 5
Compound: HfSn4
Source: the Alexandria database
Functional: PBE-GGA
Structure: relaxed

Structure (POSCAR):
```
HfSn4
1.0
-0.6719 5.4750 -0.3562
-2.2545 0.0517 5.0466
5.0020 0.7587 2.2268
Hf Sn
1 4
direct
0.5000 0.5000 0.5000 Hf
0.0000 0.0000 0.0000 Sn
0.5000 0.0000 0.5000 Sn
0.0000 0.5000 0.5000 Sn
0.5000 0.5000 0.0000 Sn
```

Properties
DOS at the Fermi energy = 0.8710 states/eV/atom
Calculated formation energy = 0.4024 eV per atom
Magnetic moment = 0.00 μB per formula unit
VASP energy = -24.0 eV per cell
SG = Pm-3m (221)



# 6
Compound: La2Ge3Au2
Source: the Alexandria database
Functional: PBE-GGA
Structure: relaxed

Structure (POSCAR):
```
La2Ge3Au2
1.0
4.4600 0.0000 -1.0633
0.0000 7.1943 0.0000
0.0091 0.0000 9.9235
La Ge Au
4 6 4
direct
0.1563 0.2500 0.3126 La
0.8437 0.7500 0.6874 La
0.9479 0.2500 0.8958 La
0.0521 0.7500 0.1042 La
0.2225 0.7500 0.4449 Ge
0.7775 0.2500 0.5551 Ge
0.5587 0.4281 0.1174 Ge
0.4413 0.5719 0.8826 Ge
0.4413 0.9281 0.8826 Ge
0.5587 0.0719 0.1174 Ge
0.6866 0.9475 0.3733 Au
0.3134 0.0525 0.6267 Au
0.3134 0.4475 0.6267 Au
0.6866 0.5525 0.3733 Au
```

Properties
DOS at the Fermi energy = 0.3130 states/eV/atom
Calculated formation energy = -0.7298 eV per atom
Magnetic moment = 0.00 μB per formula unit
VASP energy = -70.7 eV per cell
SG = Cmcm (63)